## HfMnF2 (PBE with a Hubbard U)

Data for a geometry-optimized HfMnF2 structure.

The space group is No. 166. Its relative energy among the computed polymorphs is 81 meV/atom. The uncorrected energy is -6.8272 eV/atom. The calculation puts the density at 7.01 g/cm³. The value obtained for the spin magnetization is 3.21 μB per cell.

Cell: 6.325 6.325 6.325 Å, 32.31 32.31 32.31°
Sites, in units of the cell vectors:
Hf (0.000, 0.000, 0.000)
Mn (0.500, 0.500, 0.500)
F (0.121, 0.121, 0.121)
F (0.879, 0.879, 0.879)